Entry from Alexandria: a geometry-optimized Te2OsCl structure (GGA-PBE).

a b c (Å): 3.6863 3.6863 8.4677
angles (deg): 90.00 90.00 90.00
Positions (direct):
Te 0.0000 0.0000 0.8458
Te 0.5000 0.5000 0.2013
Cl 0.0000 0.0000 0.5515
Os 0.5000 0.5000 0.9015

Properties
Fermi-level density of states (states/eV/cell): 1.9
Uncorrected energy (eV per atom): -4.429
Uncorrected formation energy (eV/atom): 0.411
E above lowest polymorph (meV per atom): 423

Entry from Alexandria: a geometry-optimized Te2OsCl structure (GGA-PBE).

a b c (Å): 3.3510 3.2167 8.4882
angles (deg): 74.20 90.00 90.00
Last column: magnetic moment on the atom in μB.
Positions (direct):
Te 0.0000 0.3821 0.5440  0.01
Te 0.0000 0.1179 0.9560  0.01
Os 0.5000 0.7500 0.7500  0.50
Cl 0.5000 0.2500 0.2500  0.01

Properties
Fermi-level density of states (states/eV/cell): 2.7
Uncorrected energy (eV per atom): -4.600
Uncorrected formation energy (eV/atom): 0.240
E above lowest polymorph (meV per atom): 251

Entry from Alexandria: a geometry-optimized Te2OsCl structure (GGA-PBE).

a b c (Å): 8.1863 8.1863 8.1863
angles (deg): 29.08 29.08 29.08
Positions (direct):
Cl 0.0000 0.0000 0.0000
Te 0.8857 0.8857 0.8857
Os 0.5000 0.5000 0.5000
Te 0.1143 0.1143 0.1143

Properties
Fermi-level density of states (states/eV/cell): 3.1
Uncorrected energy (eV per atom): -4.852
Uncorrected formation energy (eV/atom): -0.012
E above lowest polymorph (meV per atom): 0

Entry from Alexandria: a geometry-optimized Te2OsCl structure (GGA-PBE).

a b c (Å): 3.8509 3.8509 7.9354
angles (deg): 76.13 76.13 60.06
Positions (direct):
Te 0.5195 0.5195 0.4449
Os 0.2500 0.2500 0.2500
Te 0.9805 0.9805 0.0551
Cl 0.7500 0.7500 0.7500

Properties
Fermi-level density of states (states/eV/cell): 3.2
Uncorrected energy (eV per atom): -4.821
Uncorrected formation energy (eV/atom): 0.019
E above lowest polymorph (meV per atom): 31

Entry from Alexandria: a geometry-optimized Te2OsCl structure (GGA-PBE).

a b c (Å): 3.2085 3.2085 9.4341
angles (deg): 90.00 90.00 117.72
Positions (direct):
Os 0.5000 0.5000 0.7500
Cl 0.5000 0.5000 0.2500
Te 0.0000 0.0000 0.9800
Te 0.0000 0.0000 0.5200

Properties
Fermi-level density of states (states/eV/cell): 3.4
Uncorrected energy (eV per atom): -4.342
Uncorrected formation energy (eV/atom): 0.498
E above lowest polymorph (meV per atom): 510

Entry from Alexandria: a geometry-optimized Te2OsCl structure (GGA-PBE).

a b c (Å): 3.1432 3.1432 10.8688
angles (deg): 90.00 90.00 90.00
Positions (direct):
Te 0.5000 0.5000 0.2306
Cl 0.0000 0.0000 0.6018
Te 0.0000 0.0000 0.9033
Os 0.5000 0.5000 0.7644

Properties
Fermi-level density of states (states/eV/cell): 1.9
Uncorrected energy (eV per atom): -4.456
Uncorrected formation energy (eV/atom): 0.384
E above lowest polymorph (meV per atom): 396